1.
Material: LiCa3Np3N8
Method: DFT, PBE
State: relaxed Values from VASP.

Computed properties:
Raw formation energy = -0.897 eV per atom
Magnetization = 0.2667 μB/atom
Crystal system = trigonal
Symmetry = No. 166

Cell and atoms, written as Quantum ESPRESSO input:
```
&SYSTEM
  ibrav = 0, nat = 15, ntyp = 4
/
ATOMIC_SPECIES
Np 237.00 Np.upf
Ca 40.08 Ca.upf
N 14.01 N.upf
Li 6.94 Li.upf
CELL_PARAMETERS angstrom
-5.7676 3.5536 -0.6315
3.1877 -2.3244 -5.5433
-3.1199 -4.3205 4.1916
ATOMIC_POSITIONS crystal
Np 0.5000 0.0000 0.5000
Ca 0.0000 0.5000 0.0000
N 0.7430 0.4860 0.7291
Np 0.0000 0.5000 0.5000
Li 0.0000 0.0000 0.5000
N 0.2416 0.9480 0.6898
N 0.2570 0.5140 0.2709
N 0.2418 0.4835 0.6899
Ca 0.5000 0.5000 0.0000
N 0.7584 0.0520 0.3102
Ca 0.0000 0.0000 0.0000
N 0.7064 0.9480 0.6898
N 0.2936 0.0520 0.3102
N 0.7582 0.5165 0.3101
Np 0.5000 0.5000 0.5000
```



2.
Material: Ho2Nb2Si2C
Method: DFT, PBE
State: relaxed Values from VASP.

Computed properties:
Raw formation energy = -0.597 eV per atom
Magnetization = 0.0000 μB/atom
Crystal system = tetragonal
Symmetry = No. 139

Cell and atoms, written as Quantum ESPRESSO input:
```
&SYSTEM
  ibrav = 0, nat = 7, ntyp = 4
/
ATOMIC_SPECIES
C 12.01 C.upf
Ho 164.93 Ho.upf
Nb 92.91 Nb.upf
Si 28.09 Si.upf
CELL_PARAMETERS angstrom
4.2432 0.0000 0.0000
0.0000 4.2432 0.0000
-2.1216 -2.1216 7.4304
ATOMIC_POSITIONS crystal
C 0.0000 0.0000 0.0000
Ho 0.8325 0.8325 0.6649
Ho 0.1675 0.1675 0.3351
Nb 0.5000 0.0000 0.0000
Si 0.3735 0.3735 0.7469
Si 0.6265 0.6265 0.2531
Nb 0.0000 0.5000 0.0000
```



3.
Material: Tm2ZrZn
Method: DFT, PBE
State: relaxed Values from VASP.

Computed properties:
E_form = 240 meV per atom
Magnetization = 0.0000 μB/atom
Energy above the most stable polymorph in this dataset = 0.394 eV/atom
Crystal system = trigonal
Symmetry = No. 166

Cell and atoms, written as Quantum ESPRESSO input:
```
&SYSTEM
  ibrav = 0, nat = 4, ntyp = 3
/
ATOMIC_SPECIES
Zn 65.41 Zn.upf
Zr 91.22 Zr.upf
Tm 168.93 Tm.upf
CELL_PARAMETERS angstrom
3.2412 0.0000 0.0000
1.6206 2.8070 0.0000
1.6206 0.9357 11.0956
ATOMIC_POSITIONS crystal
Zn 0.5000 0.5000 0.5000
Zr 0.0000 0.0000 0.0000
Tm 0.0960 0.0960 0.7121
Tm 0.9040 0.9040 0.2879
```



4.
Material: LiCd2Ga2
Method: DFT, PBE
State: relaxed Values from VASP.

Computed properties:
E_form = 2 meV per atom
Magnetization = 0.0000 μB/atom
Energy above the most stable polymorph in this dataset = 0.035 eV/atom
Crystal system = tetragonal
Symmetry = No. 127

Cell and atoms, written as Quantum ESPRESSO input:
```
&SYSTEM
  ibrav = 0, nat = 10, ntyp = 3
/
ATOMIC_SPECIES
Ga 69.72 Ga.upf
Cd 112.41 Cd.upf
Li 6.94 Li.upf
CELL_PARAMETERS angstrom
8.0826 0.0000 0.0000
0.0000 8.0826 0.0000
0.0000 0.0000 3.3167
ATOMIC_POSITIONS crystal
Ga 0.3380 0.1620 0.5000
Cd 0.1386 0.3614 0.0000
Cd 0.8614 0.6386 0.0000
Ga 0.6620 0.8380 0.5000
Ga 0.1620 0.6620 0.5000
Ga 0.8380 0.3380 0.5000
Cd 0.6386 0.1386 0.0000
Cd 0.3614 0.8614 0.0000
Li 0.5000 0.5000 0.0000
Li 0.0000 0.0000 0.0000
```



5.
Material: ZrZn4Ru
Method: DFT, PBE
State: relaxed Values from VASP.

Computed properties:
E_form = -316 meV per atom
Magnetization = 0.0000 μB/atom
Crystal system = cubic
Symmetry = No. 216

Cell and atoms, written as Quantum ESPRESSO input:
```
&SYSTEM
  ibrav = 0, nat = 6, ntyp = 3
/
ATOMIC_SPECIES
Zn 65.41 Zn.upf
Zr 91.22 Zr.upf
Ru 101.07 Ru.upf
CELL_PARAMETERS angstrom
-4.5856 1.1442 1.6807
-0.9755 -0.1390 4.9184
-0.7520 4.2660 2.5293
ATOMIC_POSITIONS crystal
Zn 0.6256 0.6256 0.6256
Zr 0.2500 0.2500 0.2500
Zn 0.1231 0.6256 0.6256
Zn 0.6256 0.1231 0.6256
Ru 0.0000 0.0000 0.0000
Zn 0.6256 0.6256 0.1231
```



6.
Material: PmGa2Ge
Method: DFT, PBE
State: relaxed Values from VASP.

Computed properties:
E_form = -392 meV per atom
Magnetization = 0.0000 μB/atom
Energy above the most stable polymorph in this dataset = 0.119 eV/atom
Crystal system = monoclinic
Symmetry = No. 12

Cell and atoms, written as Quantum ESPRESSO input:
```
&SYSTEM
  ibrav = 0, nat = 4, ntyp = 3
/
ATOMIC_SPECIES
Ge 72.64 Ge.upf
Ga 69.72 Ga.upf
Pm 145.00 Pm.upf
CELL_PARAMETERS angstrom
3.9987 0.0000 0.0000
0.0000 5.2893 -0.0863
-1.9993 -1.3623 4.1276
ATOMIC_POSITIONS crystal
Ge 0.0000 0.5000 0.0000
Ga 0.2662 0.3289 0.5323
Ga 0.7338 0.6711 0.4677
Pm 0.5000 0.0000 0.0000
```



7.
Material: RbCl
Method: DFT, PBE
State: relaxed Values from VASP.

Computed properties:
Raw formation energy = -1.943 eV per atom
Magnetization = 0.0008 μB/atom
Crystal system = cubic
Symmetry = No. 225

Cell and atoms, written as Quantum ESPRESSO input:
```
&SYSTEM
  ibrav = 0, nat = 2, ntyp = 2
/
ATOMIC_SPECIES
Cl 35.45 Cl.upf
Rb 85.47 Rb.upf
CELL_PARAMETERS angstrom
-3.8802 -2.5403 -0.9542
0.1314 -4.7239 0.2941
-2.2959 -2.2192 3.4962
ATOMIC_POSITIONS crystal
Cl 0.5000 0.5000 0.5000
Rb 0.0000 0.0000 0.0000
```



8.
Material: YInAsBr2
Method: DFT, PBE
State: relaxed Values from VASP.

Computed properties:
Raw formation energy = -0.759 eV per atom
Magnetization = 0.1881 μB/atom
Energy above the most stable polymorph in this dataset = 0.000 eV/atom
Crystal system = tetragonal
Symmetry = No. 123

Cell and atoms, written as Quantum ESPRESSO input:
```
&SYSTEM
  ibrav = 0, nat = 5, ntyp = 4
/
ATOMIC_SPECIES
Y 88.91 Y.upf
As 74.92 As.upf
Br 79.90 Br.upf
In 114.82 In.upf
CELL_PARAMETERS angstrom
5.5567 0.0000 0.0000
0.0000 5.5567 0.0000
0.0000 0.0000 5.6938
ATOMIC_POSITIONS crystal
Y 0.0000 0.0000 0.0000
As 0.0000 0.0000 0.5000
Br 0.0000 0.5000 0.0000
Br 0.5000 0.0000 0.0000
In 0.5000 0.5000 0.5000
```